# TiZnF2, PBEsol geometry, DFT SCAN
data_TiZnF2
_chemical_formula_sum 'Ti1 Zn1 F2'
_space_group_name_H-M_alt 'P 1'
_space_group_IT_number 1
_cell_length_a 4.121
_cell_length_b 4.121
_cell_length_c 4.121
_cell_angle_alpha 60.00
_cell_angle_beta 60.00
_cell_angle_gamma 60.00
loop_
_space_group_symop_operation_xyz
'x,y,z'
loop_
_atom_site_label
_atom_site_type_symbol
_atom_site_fract_x
_atom_site_fract_y
_atom_site_fract_z
_atom_site_occupancy
Zn1 Zn 0.500 0.500 0.500 1
F1 F 0.250 0.250 0.250 1
F2 F 0.750 0.750 0.750 1
Ti1 Ti 0.000 0.000 0.000 1
# Formation energy from raw total energies in eV/atom: -1.41
# Space-group type: Fm-3m



# ZrAlCo, PBEsol geometry, DFT SCAN
data_ZrAlCo
_chemical_formula_sum 'Zr1 Al1 Co1'
_space_group_name_H-M_alt 'P 1'
_space_group_IT_number 1
_cell_length_a 4.296
_cell_length_b 4.296
_cell_length_c 4.296
_cell_angle_alpha 60.00
_cell_angle_beta 60.00
_cell_angle_gamma 60.00
loop_
_space_group_symop_operation_xyz
'x,y,z'
loop_
_atom_site_label
_atom_site_type_symbol
_atom_site_fract_x
_atom_site_fract_y
_atom_site_fract_z
_atom_site_occupancy
Zr1 Zr 0.750 0.750 0.750 1
Al1 Al 0.000 0.000 0.000 1
Co1 Co 0.500 0.500 0.500 1
# Formation energy from the elements in meV/atom: 532.4
# Space-group type: F-43m



# KRhN2, PBEsol geometry, DFT SCAN
data_KRhN2
_chemical_formula_sum 'K1 Rh1 N2'
_space_group_name_H-M_alt 'P 1'
_space_group_IT_number 1
_cell_length_a 3.322
_cell_length_b 3.322
_cell_length_c 7.512
_cell_angle_alpha 77.22
_cell_angle_beta 77.22
_cell_angle_gamma 60.00
loop_
_space_group_symop_operation_xyz
'x,y,z'
loop_
_atom_site_label
_atom_site_type_symbol
_atom_site_fract_x
_atom_site_fract_y
_atom_site_fract_z
_atom_site_occupancy
K1 K 0.500 0.500 0.500 1
N1 N 0.920 0.920 0.240 1
N2 N 0.080 0.080 0.760 1
Rh1 Rh 0.000 0.000 0.000 1
# Formation energy from raw total energies in eV/atom: 1.03
# Space-group type: R-3m



# Pt2AuS2, PBEsol geometry, DFT SCAN
data_Pt2AuS2
_chemical_formula_sum 'Pt2 Au1 S2'
_space_group_name_H-M_alt 'P 1'
_space_group_IT_number 1
_cell_length_a 3.911
_cell_length_b 3.911
_cell_length_c 6.141
_cell_angle_alpha 108.57
_cell_angle_beta 108.57
_cell_angle_gamma 90.00
loop_
_space_group_symop_operation_xyz
'x,y,z'
loop_
_atom_site_label
_atom_site_type_symbol
_atom_site_fract_x
_atom_site_fract_y
_atom_site_fract_z
_atom_site_occupancy
Au1 Au 0.000 0.000 0.000 1
Pt1 Pt 0.618 0.618 0.235 1
Pt2 Pt 0.382 0.382 0.765 1
S1 S 0.250 0.750 0.500 1
S2 S 0.750 0.250 0.500 1
# Formation energy from raw total energies in eV/atom: 0.45
# Space-group type: I4/mmm



# CoHg2IrBr, PBEsol geometry, DFT SCAN
data_CoHg2IrBr
_chemical_formula_sum 'Co1 Hg2 Ir1 Br1'
_space_group_name_H-M_alt 'P 1'
_space_group_IT_number 1
_cell_length_a 4.227
_cell_length_b 4.935
_cell_length_c 4.935
_cell_angle_alpha 90.00
_cell_angle_beta 90.00
_cell_angle_gamma 90.00
loop_
_space_group_symop_operation_xyz
'x,y,z'
loop_
_atom_site_label
_atom_site_type_symbol
_atom_site_fract_x
_atom_site_fract_y
_atom_site_fract_z
_atom_site_occupancy
Hg1 Hg 0.000 0.000 0.500 1
Hg2 Hg 0.000 0.500 0.000 1
Ir1 Ir 0.500 0.500 0.500 1
Br1 Br 0.500 0.000 0.000 1
Co1 Co 0.000 0.000 0.000 1
# Formation energy from raw total energies in eV/atom: 1.29
# Space-group type: P4/mmm



# ZrTc2Ru, PBEsol geometry, DFT SCAN
data_ZrTc2Ru
_chemical_formula_sum 'Zr1 Tc2 Ru1'
_space_group_name_H-M_alt 'P 1'
_space_group_IT_number 1
_cell_length_a 4.425
_cell_length_b 4.425
_cell_length_c 4.425
_cell_angle_alpha 60.00
_cell_angle_beta 60.00
_cell_angle_gamma 60.00
loop_
_space_group_symop_operation_xyz
'x,y,z'
loop_
_atom_site_label
_atom_site_type_symbol
_atom_site_fract_x
_atom_site_fract_y
_atom_site_fract_z
_atom_site_occupancy
Zr1 Zr 0.500 0.500 0.500 1
Ru1 Ru 0.250 0.250 0.250 1
Tc1 Tc 0.750 0.750 0.750 1
Tc2 Tc 0.000 0.000 0.000 1
# Formation energy from the elements in meV/atom: -80.5
# Space-group type: F-43m
# Energy above the most stable polymorph in this dataset in kJ/mol of atoms: 2.0



# La2Os, PBEsol geometry, DFT SCAN
data_La2Os
_chemical_formula_sum 'La2 Os1'
_space_group_name_H-M_alt 'P 1'
_space_group_IT_number 1
_cell_length_a 4.189
_cell_length_b 4.189
_cell_length_c 6.228
_cell_angle_alpha 90.00
_cell_angle_beta 90.00
_cell_angle_gamma 120.00
loop_
_space_group_symop_operation_xyz
'x,y,z'
loop_
_atom_site_label
_atom_site_type_symbol
_atom_site_fract_x
_atom_site_fract_y
_atom_site_fract_z
_atom_site_occupancy
Os1 Os 0.000 0.000 0.000 1
La1 La 0.667 0.333 0.232 1
La2 La 0.333 0.667 0.768 1
# Formation energy from the elements in meV/atom: -186.6
# Space-group type: P-3m1



# ZrAlNi6, PBEsol geometry, DFT SCAN
data_ZrAlNi6
_chemical_formula_sum 'Zr4 Al4 Ni24'
_space_group_name_H-M_alt 'P 1'
_space_group_IT_number 1
_cell_length_a 6.247
_cell_length_b 6.247
_cell_length_c 10.226
_cell_angle_alpha 90.00
_cell_angle_beta 90.00
_cell_angle_gamma 109.87
loop_
_space_group_symop_operation_xyz
'x,y,z'
loop_
_atom_site_label
_atom_site_type_symbol
_atom_site_fract_x
_atom_site_fract_y
_atom_site_fract_z
_atom_site_occupancy
Ni1 Ni 0.253 0.747 0.243 1
Ni2 Ni 0.132 0.386 0.121 1
Ni3 Ni 0.747 0.253 0.243 1
Ni4 Ni 0.380 0.134 0.370 1
Ni5 Ni 0.747 0.253 0.757 1
Ni6 Ni 0.380 0.134 0.630 1
Ni7 Ni 0.868 0.614 0.879 1
Ni8 Ni 0.500 0.500 0.500 1
Ni9 Ni 0.620 0.866 0.630 1
Ni10 Ni 0.868 0.614 0.121 1
Ni11 Ni 0.614 0.868 0.121 1
Ni12 Ni 0.132 0.386 0.879 1
Ni13 Ni 0.866 0.620 0.630 1
Ni14 Ni 0.000 0.000 0.000 1
Ni15 Ni 0.386 0.132 0.879 1
Ni16 Ni 0.134 0.380 0.370 1
Ni17 Ni 0.386 0.132 0.121 1
Ni18 Ni 0.614 0.868 0.879 1
Ni19 Ni 0.500 0.500 0.000 1
Ni20 Ni 0.253 0.747 0.757 1
Ni21 Ni 0.134 0.380 0.630 1
Ni22 Ni 0.000 0.000 0.500 1
Ni23 Ni 0.620 0.866 0.370 1
Ni24 Ni 0.866 0.620 0.370 1
Al1 Al 0.241 0.759 0.000 1
Al2 Al 0.500 0.500 0.246 1
Al3 Al 0.500 0.500 0.754 1
Al4 Al 0.759 0.241 0.000 1
Zr1 Zr 0.000 0.000 0.755 1
Zr2 Zr 0.000 0.000 0.245 1
Zr3 Zr 0.245 0.755 0.500 1
Zr4 Zr 0.755 0.245 0.500 1
# Formation energy from the elements in meV/atom: -445.6
# Space-group type: Cmmm



# YZrFe4, PBEsol geometry, DFT SCAN
data_YZrFe4
_chemical_formula_sum 'Y1 Zr1 Fe4'
_space_group_name_H-M_alt 'P 1'
_space_group_IT_number 1
_cell_length_a 4.962
_cell_length_b 4.962
_cell_length_c 4.962
_cell_angle_alpha 60.00
_cell_angle_beta 60.00
_cell_angle_gamma 60.00
loop_
_space_group_symop_operation_xyz
'x,y,z'
loop_
_atom_site_label
_atom_site_type_symbol
_atom_site_fract_x
_atom_site_fract_y
_atom_site_fract_z
_atom_site_occupancy
Fe1 Fe 0.375 0.876 0.375 1
Fe2 Fe 0.375 0.375 0.375 1
Fe3 Fe 0.876 0.375 0.375 1
Fe4 Fe 0.375 0.375 0.876 1
Y1 Y 0.750 0.750 0.750 1
Zr1 Zr 0.000 0.000 0.000 1
# Formation energy from the elements in meV/atom: -106.5
# Space-group type: F-43m



# SrTlSCl2, PBEsol geometry, DFT SCAN
data_SrTlSCl2
_chemical_formula_sum 'Sr1 Tl1 S1 Cl2'
_space_group_name_H-M_alt 'P 1'
_space_group_IT_number 1
_cell_length_a 5.502
_cell_length_b 5.502
_cell_length_c 5.692
_cell_angle_alpha 90.00
_cell_angle_beta 90.00
_cell_angle_gamma 90.00
loop_
_space_group_symop_operation_xyz
'x,y,z'
loop_
_atom_site_label
_atom_site_type_symbol
_atom_site_fract_x
_atom_site_fract_y
_atom_site_fract_z
_atom_site_occupancy
Sr1 Sr 0.000 0.000 0.000 1
Cl1 Cl 0.500 0.000 0.000 1
Cl2 Cl 0.000 0.500 0.000 1
Tl1 Tl 0.500 0.500 0.500 1
S1 S 0.000 0.000 0.500 1
# Formation energy from raw total energies in eV/atom: -1.31
# Space-group type: P4/mmm



# Sr2InNi, PBEsol geometry, DFT SCAN
data_Sr2InNi
_chemical_formula_sum 'Sr2 In1 Ni1'
_space_group_name_H-M_alt 'P 1'
_space_group_IT_number 1
_cell_length_a 5.161
_cell_length_b 5.161
_cell_length_c 5.161
_cell_angle_alpha 60.00
_cell_angle_beta 60.00
_cell_angle_gamma 60.00
loop_
_space_group_symop_operation_xyz
'x,y,z'
loop_
_atom_site_label
_atom_site_type_symbol
_atom_site_fract_x
_atom_site_fract_y
_atom_site_fract_z
_atom_site_occupancy
Sr1 Sr 0.750 0.750 0.750 1
Sr2 Sr 0.000 0.000 0.000 1
Ni1 Ni 0.250 0.250 0.250 1
In1 In 0.500 0.500 0.500 1
# Formation energy from the elements in meV/atom: 72.0
# Space-group type: F-43m



# TaRu3N, PBEsol geometry, DFT SCAN
data_TaRu3N
_chemical_formula_sum 'Ta1 Ru3 N1'
_space_group_name_H-M_alt 'P 1'
_space_group_IT_number 1
_cell_length_a 4.682
_cell_length_b 4.682
_cell_length_c 4.682
_cell_angle_alpha 90.00
_cell_angle_beta 90.00
_cell_angle_gamma 90.00
loop_
_space_group_symop_operation_xyz
'x,y,z'
loop_
_atom_site_label
_atom_site_type_symbol
_atom_site_fract_x
_atom_site_fract_y
_atom_site_fract_z
_atom_site_occupancy
Ru1 Ru 0.000 0.500 0.000 1
Ru2 Ru 0.000 0.000 0.500 1
Ru3 Ru 0.500 0.000 0.000 1
Ta1 Ta 0.000 0.000 0.000 1
N1 N 0.500 0.500 0.500 1
# Formation energy from raw total energies in eV/atom: 2.69
# Space-group type: Pm-3m